1.
## Te2PbSeI (meta-GGA SCAN)

Data for a PBEsol-optimized structure of Te2PbSeI.

Structure (POSCAR):
```
Te2PbSeI
1.0
5.781 0.000 0.000
0.000 5.781 0.000
0.000 0.000 5.937
Te Pb Se I
2 1 1 1
Direct
0.000 0.500 0.000
0.500 0.000 0.000
0.000 0.000 0.000
0.500 0.500 0.500
0.000 0.000 0.500
```

SG: P4/mmm, No. 123
D(E_F): 4.615 states/eV/f.u.
ΔE to the lowest computed polymorph: 486.9 meV/atom


2.
## CaPPb2 (meta-GGA SCAN)

Data for a PBEsol-optimized structure of CaPPb2.

Structure (POSCAR):
```
CaPPb2
1.0
5.988 0.000 0.000
0.000 6.920 0.000
0.000 0.000 5.246
Ca P Pb
2 2 4
Direct
0.000 0.000 0.000
0.500 0.500 0.000
0.000 0.500 0.000
0.500 0.000 0.000
0.000 0.290 0.500
0.000 0.710 0.500
0.500 0.210 0.500
0.500 0.790 0.500
```

SG: Cmmm, No. 65
ΔH_f (0 K): -1.22 eV per formula unit
D(E_F): 1.579 states/eV/f.u.


3.
## KSO2F (meta-GGA SCAN)

Data for a PBEsol-optimized structure of KSO2F.

Structure (POSCAR):
```
KSO2F
1.0
4.683 0.000 0.000
0.000 5.575 0.000
-2.074 0.000 6.542
K S O F
2 2 4 2
Direct
0.149 0.000 0.290
0.851 0.500 0.710
0.451 0.977 0.840
0.549 0.477 0.160
0.223 0.507 0.116
0.334 0.787 0.686
0.666 0.287 0.314
0.777 0.007 0.884
0.328 0.234 0.678
0.672 0.734 0.322
```

SG: P2_1, No. 4
total energy: -8.756 eV/atom
D(E_F): 0.000 states/eV/f.u.